Computed, not measured: an optimized crystal structure of Tm3LuH at the PBE level of DFT.

The structure in CIF format:
```
data_Tm3LuH
_chemical_formula_sum 'Tm3 Lu1 H1'
_cell_length_a 4.895
_cell_length_b 4.895
_cell_length_c 4.895
_cell_angle_alpha 90.00
_cell_angle_beta 90.00
_cell_angle_gamma 90.00
_symmetry_space_group_name_H-M 'P m -3 m'
_symmetry_Int_Tables_number 221
_symmetry_space_group_name_Hall '-P 4 2 3'
loop_
_atom_site_label
_atom_site_fract_x
_atom_site_fract_y
_atom_site_fract_z
Tm1 0.000 0.000 0.500
Lu1 0.500 0.500 0.500
H1 0.000 0.000 0.000
```

## Properties
M_tot ... 0.0005 μB per atom

Computed, not measured: an optimized crystal structure of TmLu2H at the PBE level of DFT.

The structure in CIF format:
```
data_TmLu2H
_chemical_formula_sum 'Tm1 Lu2 H1'
_cell_length_a 3.278
_cell_length_b 3.278
_cell_length_c 8.264
_cell_angle_alpha 90.00
_cell_angle_beta 90.00
_cell_angle_gamma 90.00
_symmetry_space_group_name_H-M 'P 4/m m m'
_symmetry_Int_Tables_number 123
_symmetry_space_group_name_Hall '-P 4 2'
loop_
_atom_site_label
_atom_site_fract_x
_atom_site_fract_y
_atom_site_fract_z
Tm1 0.000 0.000 0.000
Lu1 0.500 0.500 0.306
H1 0.000 0.000 0.500
```

## Properties
M_tot ... 0.0001 μB per atom

Computed, not measured: an optimized crystal structure of TmLuH2 at the PBE level of DFT.

The structure in CIF format:
```
data_TmLuH2
_chemical_formula_sum 'Tm3 Lu3 H6'
_cell_length_a 3.4113
_cell_length_b 3.4113
_cell_length_c 16.6634
_cell_angle_alpha 90.00
_cell_angle_beta 90.00
_cell_angle_gamma 120.00
_symmetry_space_group_name_H-M 'R -3 m'
_symmetry_Int_Tables_number 166
_symmetry_space_group_name_Hall '-R 3 2"'
loop_
_atom_site_label
_atom_site_fract_x
_atom_site_fract_y
_atom_site_fract_z
Tm1 0.0000 0.0000 0.0000
Lu1 0.0000 0.0000 0.5000
H1 0.0000 0.0000 0.2562
```

## Properties
M_tot ... 0.0003 μB per atom

Computed, not measured: an optimized crystal structure of Lu2UH at the PBE level of DFT.

The structure in CIF format:
```
data_Lu2UH
_chemical_formula_sum 'Lu6 U3 H3'
_cell_length_a 3.1830
_cell_length_b 3.1830
_cell_length_c 27.3761
_cell_angle_alpha 90.00
_cell_angle_beta 90.00
_cell_angle_gamma 120.00
_symmetry_space_group_name_H-M 'R -3 m'
_symmetry_Int_Tables_number 166
_symmetry_space_group_name_Hall '-R 3 2"'
loop_
_atom_site_label
_atom_site_fract_x
_atom_site_fract_y
_atom_site_fract_z
Lu1 0.0000 0.0000 0.1165
U1 0.0000 0.0000 0.0000
H1 0.0000 0.0000 0.5000
```

## Properties
M_tot ... 0.4965 μB per atom

Computed, not measured: an optimized crystal structure of LuUH2 at the PBE level of DFT.

The structure in CIF format:
```
data_LuUH2
_chemical_formula_sum 'Lu3 U3 H6'
_cell_length_a 3.3153
_cell_length_b 3.3153
_cell_length_c 18.1157
_cell_angle_alpha 90.00
_cell_angle_beta 90.00
_cell_angle_gamma 120.00
_symmetry_space_group_name_H-M 'R -3 m'
_symmetry_Int_Tables_number 166
_symmetry_space_group_name_Hall '-R 3 2"'
loop_
_atom_site_label
_atom_site_fract_x
_atom_site_fract_y
_atom_site_fract_z
Lu1 0.0000 0.0000 0.0000
U1 0.0000 0.0000 0.5000
H1 0.0000 0.0000 0.3786
```

## Properties
M_tot ... 0.5565 μB per atom

Computed, not measured: an optimized crystal structure of Lu2VH at the PBE level of DFT.

The structure in CIF format:
```
data_Lu2VH
_chemical_formula_sum 'Lu2 V1 H1'
_cell_length_a 3.085
_cell_length_b 3.085
_cell_length_c 7.377
_cell_angle_alpha 90.00
_cell_angle_beta 90.00
_cell_angle_gamma 90.00
_symmetry_space_group_name_H-M 'P 4/m m m'
_symmetry_Int_Tables_number 123
_symmetry_space_group_name_Hall '-P 4 2'
loop_
_atom_site_label
_atom_site_fract_x
_atom_site_fract_y
_atom_site_fract_z
Lu1 0.000 0.000 0.225
V1 0.500 0.500 0.500
H1 0.500 0.500 0.000
```

## Properties
M_tot ... 0.1219 μB per atom

Computed, not measured: an optimized crystal structure of LuVH at the PBE level of DFT.

The structure in CIF format:
```
data_LuVH
_chemical_formula_sum 'Lu3 V3 H3'
_cell_length_a 4.7510
_cell_length_b 4.7510
_cell_length_c 7.0309
_cell_angle_alpha 90.00
_cell_angle_beta 90.00
_cell_angle_gamma 120.00
_symmetry_space_group_name_H-M 'R 3 m'
_symmetry_Int_Tables_number 160
_symmetry_space_group_name_Hall 'R 3 -2"'
loop_
_atom_site_label
_atom_site_fract_x
_atom_site_fract_y
_atom_site_fract_z
Lu1 0.0000 0.0000 0.0000
V1 0.0000 0.0000 0.5414
H1 0.0000 0.0000 0.2946
```

## Properties
M_tot ... 0.9351 μB per atom

Computed, not measured: an optimized crystal structure of LuVH2 at the PBE level of DFT.

The structure in CIF format:
```
data_LuVH2
_chemical_formula_sum 'Lu3 V3 H6'
_cell_length_a 3.1202
_cell_length_b 3.1202
_cell_length_c 14.9754
_cell_angle_alpha 90.00
_cell_angle_beta 90.00
_cell_angle_gamma 120.00
_symmetry_space_group_name_H-M 'R -3 m'
_symmetry_Int_Tables_number 166
_symmetry_space_group_name_Hall '-R 3 2"'
loop_
_atom_site_label
_atom_site_fract_x
_atom_site_fract_y
_atom_site_fract_z
Lu1 0.0000 0.0000 0.0000
V1 0.0000 0.0000 0.5000
H1 0.0000 0.0000 0.2232
```

## Properties
M_tot ... 0.0728 μB per atom

Computed, not measured: an optimized crystal structure of LuV2H at the PBE level of DFT.

The structure in CIF format:
```
data_LuV2H
_chemical_formula_sum 'Lu3 V6 H3'
_cell_length_a 3.0603
_cell_length_b 3.0603
_cell_length_c 22.3111
_cell_angle_alpha 90.00
_cell_angle_beta 90.00
_cell_angle_gamma 120.00
_symmetry_space_group_name_H-M 'R -3 m'
_symmetry_Int_Tables_number 166
_symmetry_space_group_name_Hall '-R 3 2"'
loop_
_atom_site_label
_atom_site_fract_x
_atom_site_fract_y
_atom_site_fract_z
Lu1 0.0000 0.0000 0.0000
V1 0.0000 0.0000 0.1287
H1 0.0000 0.0000 0.5000
```

## Properties
M_tot ... 0.0000 μB per atom

Computed, not measured: an optimized crystal structure of LuVH3 at the PBE level of DFT.

The structure in CIF format:
```
data_LuVH3
_chemical_formula_sum 'Lu1 V1 H3'
_cell_length_a 3.554
_cell_length_b 3.554
_cell_length_c 3.554
_cell_angle_alpha 90.00
_cell_angle_beta 90.00
_cell_angle_gamma 90.00
_symmetry_space_group_name_H-M 'P m -3 m'
_symmetry_Int_Tables_number 221
_symmetry_space_group_name_Hall '-P 4 2 3'
loop_
_atom_site_label
_atom_site_fract_x
_atom_site_fract_y
_atom_site_fract_z
Lu1 0.000 0.000 0.000
V1 0.500 0.500 0.500
H1 0.000 0.500 0.500
```

## Properties
M_tot ... 0.0003 μB per atom

Computed, not measured: an optimized crystal structure of Lu2HW at the PBE level of DFT.

The structure in CIF format:
```
data_Lu2HW
_chemical_formula_sum 'Lu6 H3 W3'
_cell_length_a 3.0739
_cell_length_b 3.0739
_cell_length_c 25.6309
_cell_angle_alpha 90.00
_cell_angle_beta 90.00
_cell_angle_gamma 120.00
_symmetry_space_group_name_H-M 'R -3 m'
_symmetry_Int_Tables_number 166
_symmetry_space_group_name_Hall '-R 3 2"'
loop_
_atom_site_label
_atom_site_fract_x
_atom_site_fract_y
_atom_site_fract_z
Lu1 0.0000 0.0000 0.1092
H1 0.0000 0.0000 0.5000
W1 0.0000 0.0000 0.0000
```

## Properties
M_tot ... 0.0004 μB per atom

Computed, not measured: an optimized crystal structure of YLu2H at the PBE level of DFT.

The structure in CIF format:
```
data_YLu2H
_chemical_formula_sum 'Y1 Lu2 H1'
_cell_length_a 3.302
_cell_length_b 3.302
_cell_length_c 8.351
_cell_angle_alpha 90.00
_cell_angle_beta 90.00
_cell_angle_gamma 90.00
_symmetry_space_group_name_H-M 'P 4/m m m'
_symmetry_Int_Tables_number 123
_symmetry_space_group_name_Hall '-P 4 2'
loop_
_atom_site_label
_atom_site_fract_x
_atom_site_fract_y
_atom_site_fract_z
Y1 0.000 0.000 0.000
Lu1 0.500 0.500 0.308
H1 0.000 0.000 0.500
```

## Properties
E above lowest polymorph ... 136 meV/atom
M_tot ... 0.0000 μB per atom

Computed, not measured: an optimized crystal structure of YLu2H at the PBE level of DFT.

The structure in CIF format:
```
data_YLu2H
_chemical_formula_sum 'Y3 Lu6 H3'
_cell_length_a 3.4222
_cell_length_b 3.4222
_cell_length_c 27.8474
_cell_angle_alpha 90.00
_cell_angle_beta 90.00
_cell_angle_gamma 120.00
_symmetry_space_group_name_H-M 'R -3 m'
_symmetry_Int_Tables_number 166
_symmetry_space_group_name_Hall '-R 3 2"'
loop_
_atom_site_label
_atom_site_fract_x
_atom_site_fract_y
_atom_site_fract_z
Y1 0.0000 0.0000 0.0000
Lu1 0.0000 0.0000 0.1201
H1 0.0000 0.0000 0.5000
```

## Properties
E above lowest polymorph ... 0 meV/atom
M_tot ... 0.1576 μB per atom

Computed, not measured: an optimized crystal structure of Lu2ZnH at the PBE level of DFT.

The structure in CIF format:
```
data_Lu2ZnH
_chemical_formula_sum 'Lu6 Zn3 H3'
_cell_length_a 3.4100
_cell_length_b 3.4100
_cell_length_c 25.3802
_cell_angle_alpha 90.00
_cell_angle_beta 90.00
_cell_angle_gamma 120.00
_symmetry_space_group_name_H-M 'R -3 m'
_symmetry_Int_Tables_number 166
_symmetry_space_group_name_Hall '-R 3 2"'
loop_
_atom_site_label
_atom_site_fract_x
_atom_site_fract_y
_atom_site_fract_z
Lu1 0.0000 0.0000 0.1155
Zn1 0.0000 0.0000 0.0000
H1 0.0000 0.0000 0.5000
```

## Properties
M_tot ... 0.0002 μB per atom

Computed, not measured: an optimized crystal structure of Lu2ZrH at the PBE level of DFT.

The structure in CIF format:
```
data_Lu2ZrH
_chemical_formula_sum 'Lu6 Zr3 H3'
_cell_length_a 3.2753
_cell_length_b 3.2753
_cell_length_c 26.7692
_cell_angle_alpha 90.00
_cell_angle_beta 90.00
_cell_angle_gamma 120.00
_symmetry_space_group_name_H-M 'R -3 m'
_symmetry_Int_Tables_number 166
_symmetry_space_group_name_Hall '-R 3 2"'
loop_
_atom_site_label
_atom_site_fract_x
_atom_site_fract_y
_atom_site_fract_z
Lu1 0.0000 0.0000 0.1171
Zr1 0.0000 0.0000 0.0000
H1 0.0000 0.0000 0.5000
```

## Properties
E above lowest polymorph ... 0 meV/atom
M_tot ... 0.0002 μB per atom

Computed, not measured: an optimized crystal structure of Lu2ZrH at the PBE level of DFT.

The structure in CIF format:
```
data_Lu2ZrH
_chemical_formula_sum 'Lu2 Zr1 H1'
_cell_length_a 3.207
_cell_length_b 3.207
_cell_length_c 7.937
_cell_angle_alpha 90.00
_cell_angle_beta 90.00
_cell_angle_gamma 90.00
_symmetry_space_group_name_H-M 'P 4/m m m'
_symmetry_Int_Tables_number 123
_symmetry_space_group_name_Hall '-P 4 2'
loop_
_atom_site_label
_atom_site_fract_x
_atom_site_fract_y
_atom_site_fract_z
Lu1 0.000 0.000 0.204
Zr1 0.500 0.500 0.500
H1 0.500 0.500 0.000
```

## Properties
E above lowest polymorph ... 22 meV/atom
M_tot ... 0.0000 μB per atom

Computed, not measured: an optimized crystal structure of Lu5Zr3H12 at the PBE level of DFT.

The structure in CIF format:
```
data_Lu5Zr3H12
_chemical_formula_sum 'Lu40 Zr24 H96'
_cell_length_a 12.343
_cell_length_b 12.343
_cell_length_c 12.343
_cell_angle_alpha 90.00
_cell_angle_beta 90.00
_cell_angle_gamma 90.00
_symmetry_space_group_name_H-M 'I a -3 d'
_symmetry_Int_Tables_number 230
_symmetry_space_group_name_Hall '-I 4bd 2c 3'
loop_
_atom_site_label
_atom_site_fract_x
_atom_site_fract_y
_atom_site_fract_z
Lu1 0.000 0.000 0.000
Lu2 0.000 0.250 0.375
Zr1 0.000 0.250 0.125
H1 0.001 0.072 0.157
```

## Properties
M_tot ... 0.0000 μB per atom

Computed, not measured: an optimized crystal structure of LuZrH at the PBE level of DFT.

The structure in CIF format:
```
data_LuZrH
_chemical_formula_sum 'Lu1 Zr1 H1'
_cell_length_a 3.3818
_cell_length_b 3.3818
_cell_length_c 5.2944
_cell_angle_alpha 90.00
_cell_angle_beta 90.00
_cell_angle_gamma 120.00
_symmetry_space_group_name_H-M 'P 3 m 1'
_symmetry_Int_Tables_number 156
loop_
_symmetry_equiv_pos_as_xyz
'x,y,z'
'-y,x-y,z'
'-x+y,-x,z'
'-y,-x,z'
'-x+y,y,z'
'x,x-y,z'
loop_
_atom_site_label
_atom_site_fract_x
_atom_site_fract_y
_atom_site_fract_z
Lu1 0.0000 0.0000 0.0000
Zr1 0.6667 0.3333 0.4963
H1 0.3333 0.6667 0.7176
```

## Properties
E above lowest polymorph ... 0 meV/atom
M_tot ... 0.0000 μB per atom

Computed, not measured: an optimized crystal structure of LuZr2H at the PBE level of DFT.

The structure in CIF format:
```
data_LuZr2H
_chemical_formula_sum 'Lu3 Zr6 H3'
_cell_length_a 3.1848
_cell_length_b 3.1848
_cell_length_c 26.4339
_cell_angle_alpha 90.00
_cell_angle_beta 90.00
_cell_angle_gamma 120.00
_symmetry_space_group_name_H-M 'R -3 m'
_symmetry_Int_Tables_number 166
_symmetry_space_group_name_Hall '-R 3 2"'
loop_
_atom_site_label
_atom_site_fract_x
_atom_site_fract_y
_atom_site_fract_z
Lu1 0.0000 0.0000 0.0000
Zr1 0.0000 0.0000 0.1158
H1 0.0000 0.0000 0.5000
```

## Properties
M_tot ... 0.0002 μB per atom

Computed, not measured: an optimized crystal structure of LuZrH at the PBE level of DFT.

The structure in CIF format:
```
data_LuZrH
_chemical_formula_sum 'Lu3 Zr3 H3'
_cell_length_a 3.3138
_cell_length_b 3.3138
_cell_length_c 16.7329
_cell_angle_alpha 90.00
_cell_angle_beta 90.00
_cell_angle_gamma 120.00
_symmetry_space_group_name_H-M 'R 3 m'
_symmetry_Int_Tables_number 160
_symmetry_space_group_name_Hall 'R 3 -2"'
loop_
_atom_site_label
_atom_site_fract_x
_atom_site_fract_y
_atom_site_fract_z
Lu1 0.0000 0.0000 0.0000
Zr1 0.0000 0.0000 0.1835
H1 0.0000 0.0000 0.7768
```

## Properties
E above lowest polymorph ... 90 meV/atom
M_tot ... 0.0000 μB per atom

no.,energy (eV/atom)
1,-4.403
2,-4.080
3,-4.238
4,-5.706
5,-5.854
6,-5.077
7,-5.346
8,-5.142
9,-6.142
10,-5.061
11,-5.802
12,-4.566
13,-4.703
14,-3.341
15,-5.145
16,-5.123
17,-4.850
18,-5.679
19,-6.163
20,-5.589